Entry 1:
# BH3I2

Crystalline BH3I2 at its relaxed geometry (PBE, the Alexandria database).

Computed properties:
final energy: -3.2416 eV per atom
magnetization: 0.00 μB/cell

CIF file:
```
data_BH3I2
_chemical_formula_sum 'B4 H12 I8'
_symmetry_space_group_name_H-M 'C 1 2/c 1'
_symmetry_Int_Tables_number 15
_cell_length_a 16.4368
_cell_length_b 10.1953
_cell_length_c 4.1431
_cell_angle_alpha 90.00
_cell_angle_beta 92.40
_cell_angle_gamma 90.00
loop_
_symmetry_equiv_pos_as_xyz
'x,y,z'
'-x,-y,-z'
'-x,y,-z+1/2'
'x,-y,z+1/2'
'x+1/2,y+1/2,z'
'-x+1/2,-y+1/2,-z'
'-x+1/2,y+1/2,-z+1/2'
'x+1/2,-y+1/2,z+1/2'
loop_
_atom_site_label
_atom_site_type_symbol
_atom_site_fract_x
_atom_site_fract_y
_atom_site_fract_z
_atom_site_occupancy
B1 B 0.0000 0.0348 0.2500 1
H1 H 0.0000 0.1519 0.2500 1
H2 H 0.0544 0.0282 0.8929 1
I1 I 0.2462 0.3720 0.6605 1
```


Entry 2:
# BH5I4

Crystalline BH5I4 at its relaxed geometry (PBE, the Alexandria database).

Computed properties:
final energy: -2.8911 eV per atom
magnetization: 0.00 μB/cell

CIF file:
```
data_BH5I4
_chemical_formula_sum 'B2 H10 I8'
_symmetry_space_group_name_H-M 'I 4'
_symmetry_Int_Tables_number 79
_cell_length_a 7.0390
_cell_length_b 7.0390
_cell_length_c 14.0500
_cell_angle_alpha 90.00
_cell_angle_beta 90.00
_cell_angle_gamma 90.00
loop_
_symmetry_equiv_pos_as_xyz
'x,y,z'
'-y,x,z'
'-x,-y,z'
'y,-x,z'
'x+1/2,y+1/2,z+1/2'
'-y+1/2,x+1/2,z+1/2'
'-x+1/2,-y+1/2,z+1/2'
'y+1/2,-x+1/2,z+1/2'
loop_
_atom_site_label
_atom_site_type_symbol
_atom_site_fract_x
_atom_site_fract_y
_atom_site_fract_z
_atom_site_occupancy
B1 B 0.0000 0.0000 0.0000 1
H1 H 0.0000 0.0000 0.9153 1
H2 H 0.0379 0.1439 0.0451 1
I1 I 0.0923 0.3222 0.2786 1
```


Entry 3:
# BH3I

Crystalline BH3I at its relaxed geometry (PBE, the Alexandria database).

Computed properties:
final energy: -2.3766 eV per atom
magnetization: 0.00 μB/cell

CIF file:
```
data_BH3I
_chemical_formula_sum 'B1 H3 I1'
_symmetry_space_group_name_H-M 'P m -3 m'
_symmetry_Int_Tables_number 221
_symmetry_space_group_name_Hall '-P 4 2 3'
_cell_length_a 3.5873
_cell_length_b 3.5873
_cell_length_c 3.5873
_cell_angle_alpha 90.00
_cell_angle_beta 90.00
_cell_angle_gamma 90.00
loop_
_atom_site_label
_atom_site_type_symbol
_atom_site_fract_x
_atom_site_fract_y
_atom_site_fract_z
_atom_site_occupancy
B1 B 0.0000 0.0000 0.0000 1
H1 H 0.0000 0.0000 0.5000 1
I1 I 0.5000 0.5000 0.5000 1
```